(1)
Density functional theory data (PBE-GGA) for a relaxed structure of LaAs2Os.

Summary:
* ΔE to the lowest computed polymorph: 860 meV/atom

abc: 4.8728 4.8728 4.8728
angles: 60.00 60.00 60.00
Fractional positions:
As: 0.0000 0.0000 0.0000
As: 0.2500 0.2500 0.2500
Os: 0.7500 0.7500 0.7500
La: 0.5000 0.5000 0.5000



(2)
Density functional theory data (PBE-GGA) for a relaxed structure of Tb5Y6Er.

abc: 11.8021 6.1706 6.1655
angles: 59.97 85.03 80.03
Fractional positions:
Y: 0.2495 0.9166 0.6669
Y: 0.7505 0.0834 0.3331
Y: 0.7504 0.7504 0.0000
Y: 0.7505 0.4165 0.6669
Y: 0.2495 0.5835 0.3331
Y: 0.2496 0.2496 0.0000
Tb: 0.0000 0.6667 0.6666
Tb: 0.5000 0.1665 0.6670
Tb: 0.5000 0.8335 0.3330
Tb: 0.5000 0.5000 0.0000
Tb: 0.0000 0.3333 0.3334
Er: 0.0000 0.0000 0.0000



(3)
Density functional theory data (PBE-GGA) for a relaxed structure of KBe3.

Summary:
* ΔE to the lowest computed polymorph: 859 meV/atom

abc: 4.5571 4.5571 4.5571
angles: 120.22 120.22 89.62
Fractional positions:
Be: 0.5000 0.5000 0.0000
Be: 0.7500 0.2500 0.5000
Be: 0.2500 0.7500 0.5000
K: 0.0000 0.0000 0.0000



(4)
Density functional theory data (PBE-GGA) for a relaxed structure of CuTcRh2.

Summary:
* ΔE to the lowest computed polymorph: 60 meV/atom

abc: 8.7604 8.7604 8.7604
angles: 17.96 17.96 17.96
Fractional positions:
Rh: 0.5003 0.5003 0.5003
Rh: 0.9997 0.9997 0.9997
Tc: 0.2500 0.2500 0.2500
Cu: 0.7500 0.7500 0.7500



| no. | M_tot (μB per atom) | energy relative to the elements (eV/atom) |
| --- | --- | --- |
| 1 | 0.000 | 0.20 |
| 2 | 0.000 | 0.02 |
| 3 | 0.000 | 1.36 |
| 4 | 0.000 | -0.01 |